{"formula": "HoMgScGa", "functional": "GGA-PBE", "state": "relaxed", "lattice": [[0.0000, 3.5385, 3.5385], [3.5385, 0.0000, 3.5385], [3.5385, 3.5385, 0.0000]], "species": ["Ho", "Mg", "Sc", "Ga"], "fractional_positions": [[0.0000, 0.0000, 0.0000], [0.7500, 0.7500, 0.7500], [0.5000, 0.5000, 0.5000], [0.2500, 0.2500, 0.2500]], "spacegroup": "No. 216"}


{"formula": "HoMgSc2Ga4", "functional": "GGA-PBE", "state": "relaxed", "lattice": [[2.3892, 1.3794, 8.0571], [-2.3892, 1.3794, 8.0571], [0.0000, -2.7589, 8.0571]], "species": ["Ho", "Mg", "Sc", "Sc", "Ga", "Ga", "Ga", "Ga"], "fractional_positions": [[0.0000, 0.0000, 0.0000], [0.5000, 0.5000, 0.5000], [0.2438, 0.2438, 0.2438], [0.7562, 0.7562, 0.7562], [0.1249, 0.1249, 0.1249], [0.3775, 0.3775, 0.3775], [0.6225, 0.6225, 0.6225], [0.8751, 0.8751, 0.8751]], "spacegroup": "No. 166"}


| no. | E_form (kJ/mol of formula units) |
| --- | --- |
| 1 | -129 |
| 2 | -369 |